# 1
VASP calculation (PBE) on a relaxed GaSb2HI crystal.

abc: 4.4512 4.4512 6.5893
angles: 90.00 90.00 90.00
Fractional positions:
Ga 0.0000 0.0000 0.0000
Sb 0.0000 0.5000 0.5000
Sb 0.5000 0.0000 0.5000
H 0.5000 0.5000 0.5000
I 0.5000 0.5000 0.0000

Values from the calculation:
DFT total energy: -2.877 eV/atom
DOS at the Fermi energy: 0.751 states/eV per atom
ΔE to the lowest computed polymorph: 0.0000 eV per atom
Space-group type: P4/mmm, No. 123



# 2
VASP calculation (PBE) on a relaxed AlCr2Cd crystal.

abc: 3.4077 4.2289 4.4021
angles: 90.00 90.00 90.00
Fractional positions:
Al 0.0000 0.0000 0.0000
Cr 0.0000 0.5000 0.5000
Cr 0.5000 0.0000 0.5000
Cd 0.5000 0.5000 0.0000

Values from the calculation:
Calculated formation energy: 27.27 kJ per mole of atoms
DFT total energy: -5.694 eV/atom
DOS at the Fermi energy: 0.568 states/eV per atom
Space-group type: Pmmm, No. 47



# 3
VASP calculation (PBE) on a relaxed NaBeSN2 crystal.

abc: 3.6166 3.6166 4.5366
angles: 90.00 90.00 90.00
Fractional positions:
Na 0.0000 0.0000 0.0000
Be 0.5000 0.5000 0.5000
S 0.5000 0.5000 0.0000
N 0.0000 0.5000 0.5000
N 0.5000 0.0000 0.5000

Values from the calculation:
DFT total energy: -4.243 eV/atom
DOS at the Fermi energy: 0.479 states/eV per atom
ΔE to the lowest computed polymorph: 0.0000 eV per atom
Space-group type: P4/mmm, No. 123
Raw formation energy: 922 meV per atom



# 4
VASP calculation (PBE) on a relaxed TaPb2 crystal.

abc: 8.8565 8.8565 5.3342
angles: 90.00 90.00 159.68
Fractional positions:
Ta 0.1165 0.8835 0.7500
Ta 0.8835 0.1165 0.2500
Pb 0.2258 0.7742 0.2500
Pb 0.4484 0.5516 0.7500
Pb 0.5516 0.4484 0.2500
Pb 0.7742 0.2258 0.7500

Values from the calculation:
Calculated formation energy: 67.19 kJ per mole of atoms
DFT total energy: -5.727 eV/atom
DOS at the Fermi energy: 1.096 states/eV per atom
Space-group type: Cmcm, No. 63



# 5
VASP calculation (PBE) on a relaxed Rb2SnO12 crystal.

abc: 7.4497 7.4497 10.6778
angles: 90.00 90.00 120.00
Fractional positions:
Rb 0.3333 0.6667 0.3575
Rb 0.3333 0.6667 0.8575
Rb 0.6667 0.3333 0.1425
Rb 0.6667 0.3333 0.6425
Sn 0.0000 0.0000 0.0000
Sn 0.0000 0.0000 0.5000
O 0.0775 0.2724 0.1165
O 0.0775 0.8051 0.6165
O 0.1177 0.3990 0.6256
O 0.1177 0.7187 0.1256
O 0.1949 0.2724 0.6165
O 0.1949 0.9225 0.1165
O 0.2724 0.0775 0.3835
O 0.2724 0.1949 0.8835
O 0.2813 0.3990 0.1256
O 0.2813 0.8823 0.6256
O 0.3990 0.1177 0.8744
O 0.3990 0.2813 0.3744
O 0.6010 0.7187 0.6256
O 0.6010 0.8823 0.1256
O 0.7187 0.1177 0.3744
O 0.7187 0.6010 0.8744
O 0.7276 0.8051 0.1165
O 0.7276 0.9225 0.6165
O 0.8051 0.0775 0.8835
O 0.8051 0.7276 0.3835
O 0.8823 0.2813 0.8744
O 0.8823 0.6010 0.3744
O 0.9225 0.1949 0.3835
O 0.9225 0.7276 0.8835

Values from the calculation:
DFT total energy: -4.801 eV/atom
DOS at the Fermi energy: 0.577 states/eV per atom
Space-group type: P-3c1, No. 165
Raw formation energy: -438 meV per atom



# 6
VASP calculation (PBE) on a relaxed HfMnFe crystal.

abc: 6.8102 6.8102 4.3057
angles: 90.00 90.00 153.47
Fractional positions:
Hf 0.0866 0.9134 0.7500
Hf 0.9134 0.0866 0.2500
Mn 0.2318 0.7682 0.2500
Mn 0.7682 0.2318 0.7500
Fe 0.4162 0.5838 0.7500
Fe 0.5838 0.4162 0.2500

Values from the calculation:
Calculated formation energy: -3.02 kJ per mole of atoms
DFT total energy: -9.227 eV/atom
DOS at the Fermi energy: 1.094 states/eV per atom
ΔE to the lowest computed polymorph: 0.2576 eV per atom
Space-group type: Cmcm, No. 63



# 7
VASP calculation (PBE) on a relaxed TlOs2 crystal.

abc: 7.0340 7.0340 4.3546
angles: 90.00 90.00 120.00
Fractional positions:
Tl 0.0000 0.0000 0.0000
Tl 0.3333 0.6667 0.5000
Tl 0.6667 0.3333 0.5000
Os 0.0000 0.2362 0.5000
Os 0.0000 0.4022 0.0000
Os 0.2362 0.0000 0.5000
Os 0.4022 0.0000 0.0000
Os 0.5978 0.5978 0.0000
Os 0.7638 0.7638 0.5000

Values from the calculation:
Calculated formation energy: 142.52 kJ per mole of atoms
DFT total energy: -6.798 eV/atom
DOS at the Fermi energy: 1.318 states/eV per atom
ΔE to the lowest computed polymorph: 0.9056 eV per atom
Space-group type: P-62m, No. 189



# 8
VASP calculation (PBE) on a relaxed Hf3V4Fe4 crystal.

abc: 6.0510 6.0510 6.0510
angles: 109.47 109.47 109.47
Fractional positions:
Hf 0.0000 0.5000 0.5000
Hf 0.5000 0.0000 0.5000
Hf 0.5000 0.5000 0.0000
V 0.0000 0.0000 0.7021
V 0.0000 0.7021 0.0000
V 0.2979 0.2979 0.2979
V 0.7021 0.0000 0.0000
Fe 0.0000 0.0000 0.3647
Fe 0.0000 0.3647 0.0000
Fe 0.3647 0.0000 0.0000
Fe 0.6353 0.6353 0.6353

Values from the calculation:
Calculated formation energy: 4.27 kJ per mole of atoms
DFT total energy: -9.064 eV/atom
DOS at the Fermi energy: 1.462 states/eV per atom
Space-group type: I-43m, No. 217